No. 1
HfB2Mo2 after structural relaxation. Source: Alexandria via LeMat-Bulk, functional PBE.

a b c (Å): 5.603 5.603 5.603
angles (deg): 142.52 142.52 54.04
Fractional coordinates of all 5 atoms:
Hf  0.000  0.000  0.000
B  0.413  0.413  0.000
B  0.587  0.587  0.000
Mo  0.250  0.750  0.500
Mo  0.750  0.250  0.500

Results
- V (Å³/cell) = 64.7
- excess energy over the best structure of this formula in the dataset (eV/f.u.) = 0.44
- ΔE_f (eV per atom) = -0.394
- total magnetization (Bohr magnetons per cell) = 0.0
- SG = I4/mmm, No. 139

=====

No. 2
NaCl after structural relaxation. Source: Alexandria via LeMat-Bulk, functional PBE.

a b c (Å): 4.771 4.771 5.661
angles (deg): 90.00 90.00 120.00
Fractional coordinates of all 4 atoms:
Na  0.333  0.667  0.250
Na  0.667  0.333  0.750
Cl  0.333  0.667  0.750
Cl  0.667  0.333  0.250

Results
- uncorrected formation energy (eV per atom) = -1.7733
- V (Å³/cell) = 111.6
- total magnetization (Bohr magnetons per cell) = 0.0
- SG = P6_3/mmc, No. 194

=====

No. 3
SbW2Cl after structural relaxation. Source: Alexandria via LeMat-Bulk, functional PBE.

a b c (Å): 4.899 4.899 4.899
angles (deg): 127.31 127.31 77.75
Fractional coordinates of all 4 atoms:
Sb  0.000  0.000  0.000
W  0.250  0.750  0.500
W  0.500  0.500  0.000
Cl  0.750  0.250  0.500

Results
- uncorrected formation energy (eV per atom) = 1.0270
- V (Å³/cell) = 72.1
- excess energy over the best structure of this formula in the dataset (eV/f.u.) = 3.92
- total magnetization (Bohr magnetons per cell) = 0.0
- SG = I-4m2, No. 119

=====

No. 4
Co3RuW after structural relaxation. Source: Alexandria via LeMat-Bulk, functional PBE.

a b c (Å): 4.372 4.372 4.372
angles (deg): 90.00 90.00 90.00
Fractional coordinates of all 5 atoms:
Co  0.000  0.000  0.500
Co  0.000  0.500  0.000
Co  0.500  0.000  0.000
Ru  0.500  0.500  0.500
W  0.000  0.000  0.000

Results
- V (Å³/cell) = 83.6
- excess energy over the best structure of this formula in the dataset (eV/f.u.) = 0.00
- ΔE_f (eV per atom) = 1.752
- total magnetization (Bohr magnetons per cell) = 3.6
- SG = Pm-3m, No. 221